DFT (meta-GGA SCAN) results for YCr2In at its PBEsol-relaxed geometry.

## Properties
The space group is R3m, No. 160. The total energy comes out at -24.00 eV per atom. The formation energy is 2.00 eV/f.u.

a b c (Å): 3.0601 3.0601 9.0211
angles (deg): 80.24 80.24 60.00
Fractional coordinates of all 4 atoms:
In 0.4882 0.4882 0.5353
Cr 0.0158 0.0158 0.9527
Cr 0.7358 0.7358 0.7925
Y 0.2602 0.2602 0.2195


DFT (meta-GGA SCAN) results for BaLa2Os at its PBEsol-relaxed geometry.

## Properties
The value obtained for the relative energy among the computed polymorphs is 93.7 meV/atom. The space group is P4/mmm, No. 123. The total energy comes out at -49.43 eV per atom. The formation energy is -0.10 eV/f.u.

a b c (Å): 3.5498 3.5495 10.5214
angles (deg): 90.00 89.98 90.00
Fractional coordinates of all 4 atoms:
La 0.0000 0.0000 0.6599
La 0.0000 0.0000 0.3401
Ba 0.5000 0.5000 0.0000
Os 0.5000 0.5000 0.5000


DFT (meta-GGA SCAN) results for Hf2ScNbCd at its PBEsol-relaxed geometry.

## Properties
The space group is P4/mmm, No. 123. The total energy comes out at -39.27 eV per atom. The formation energy is 6.79 eV/f.u.

a b c (Å): 4.6487 4.9595 4.9595
angles (deg): 90.00 90.00 90.00
Fractional coordinates of all 5 atoms:
Hf 0.0000 0.0000 0.5000
Hf 0.0000 0.5000 0.0000
Sc 0.0000 0.0000 0.0000
Cd 0.5000 0.5000 0.5000
Nb 0.5000 0.0000 0.0000


DFT (meta-GGA SCAN) results for YMnRu2 at its PBEsol-relaxed geometry.

## Properties
The space group is R3m, No. 160. The total energy comes out at -28.48 eV per atom. The formation energy is 1.83 eV/f.u.

a b c (Å): 2.8235 2.8235 9.2581
angles (deg): 81.23 81.23 60.00
Fractional coordinates of all 4 atoms:
Ru 0.9997 0.9997 0.0009
Ru 0.7404 0.7404 0.7789
Y 0.5007 0.5007 0.4979
Mn 0.2592 0.2592 0.2223


DFT (meta-GGA SCAN) results for Ag2PtAu at its PBEsol-relaxed geometry.

## Properties
The value obtained for the relative energy among the computed polymorphs is 46.5 meV/atom. The space group is Pmmm, No. 47. The total energy comes out at -50.53 eV per atom. The formation energy is -0.03 eV/f.u.

a b c (Å): 2.9751 4.6521 4.6774
angles (deg): 90.00 90.00 90.00
Fractional coordinates of all 4 atoms:
Ag 0.5000 0.5000 0.0000
Ag 0.0000 0.0000 0.0000
Pt 0.0000 0.5000 0.5000
Au 0.5000 0.0000 0.5000


DFT (meta-GGA SCAN) results for ZnAsAu2 at its PBEsol-relaxed geometry.

## Properties
The value obtained for the relative energy among the computed polymorphs is 49.0 meV/atom. The space group is I-4m2, No. 119. The total energy comes out at -42.95 eV per atom. The formation energy is 0.20 eV/f.u.

a b c (Å): 3.9866 3.9866 5.0430
angles (deg): 113.28 113.28 90.00
Fractional coordinates of all 4 atoms:
Au 0.2500 0.7500 0.5000
Au 0.0000 0.0000 0.0000
As 0.7500 0.2500 0.5000
Zn 0.5000 0.5000 0.0000


DFT (meta-GGA SCAN) results for Tc2AsPb at its PBEsol-relaxed geometry.

## Properties
The value obtained for the relative energy among the computed polymorphs is 0.0 meV/atom. The space group is P4/mmm, No. 123. The total energy comes out at -41.17 eV per atom. The formation energy is 1.40 eV/f.u.

a b c (Å): 3.1169 3.1169 6.6458
angles (deg): 90.00 90.00 90.00
Fractional coordinates of all 4 atoms:
As 0.5000 0.5000 0.0000
Tc 0.0000 0.0000 0.7892
Tc 0.0000 0.0000 0.2108
Pb 0.5000 0.5000 0.5000


DFT (meta-GGA SCAN) results for H2AuCl at its PBEsol-relaxed geometry.

## Properties
The space group is Fm-3m, No. 225. The total energy comes out at -19.75 eV per atom.

a b c (Å): 3.9595 3.9595 3.9595
angles (deg): 60.00 60.00 60.00
Fractional coordinates of all 4 atoms:
H 0.2500 0.2500 0.2500
H 0.7500 0.7500 0.7500
Cl 0.0000 0.0000 0.0000
Au 0.5000 0.5000 0.5000


So what do the calculations give for D(E_F)? Going down the list: 3.03; 3.31; 7.35; 3.73; 1.31; 1.28; 4.47; 1.69 states/eV/f.u..